DFT (PBE with a Hubbard U) results for crystalline TaCr3Cl2O6 at its relaxed geometry.

The structure belongs to space group C2/m (No. 12); the cell edges are 10.641, 5.973 and 5.058 Å and the angles 90.00°, 100.50° and 90.00°. Symmetry generates all atoms from Ta at (0.000, 0.000, 0.000), Cr at (0.000, 0.500, 0.500), Cr at (0.250, 0.250, 0.000), Cl at (0.194, 0.500, 0.319), O at (0.067, 0.249, 0.781) and O at (0.181, 0.000, 0.177).

The calculation puts the total moment at 0.750 μB per atom. Its energy is -7.464 eV per atom. The calculation puts the theoretical density at 5293 kg/m3.